TbSm2Y2Er4 | Alexandria | PBE-GGA | optimized geometry; crystal system = monoclinic; ΔE_f = -3.7 meV/atom; calculated total energy = -5.031 eV/atom; space-group type = No. 12
1.0
-1.4352 -2.4520 2.1859
9.1898 -2.2357 0.5865
-2.8797 6.9218 5.8739
Er Tb Y Sm
4 1 2 2
Cartesian
2.7037 1.1898 6.0493
6.2295 1.2799 5.5259
-1.3545 0.9542 3.1204
2.1713 1.0443 2.5970
0.0000 0.0000 0.0000
4.2957 -1.3399 4.2568
0.5792 3.5740 4.3895
2.7839 4.5994 6.9872
2.0911 -2.3653 1.6591

MnV2Co9 | Alexandria | PBE-GGA | optimized geometry; crystal system = tetragonal; ΔE_f = -90.9 meV/atom; calculated total energy = -7.704 eV/atom; space-group type = No. 123
1.0
3.5280 0.0000 0.0000
0.0000 3.5280 0.0000
0.0000 0.0000 10.5762
Co V Mn
9 2 1
Cartesian
0.0000 1.7640 8.8341
1.7640 0.0000 5.2881
1.7640 1.7640 0.0000
0.0000 1.7640 5.2881
1.7640 0.0000 1.7421
1.7640 1.7640 7.0592
1.7640 1.7640 3.5170
1.7640 0.0000 8.8341
0.0000 1.7640 1.7421
0.0000 0.0000 3.5328
0.0000 0.0000 7.0433
0.0000 0.0000 0.0000

AgTe4P | Alexandria | PBE-GGA | optimized geometry; energy above the lowest structure with this stoichiometry = 0.734 eV/atom; crystal system = cubic; raw formation energy = 0.83 eV per atom; calculated total energy = -2.641 eV/atom; space-group type = No. 216
1.0
-1.9046 -5.9359 -0.3066
-5.5778 -1.6100 2.2918
-4.6236 -1.5976 -3.8763
Ag Te P
1 4 1
Cartesian
-9.0795 -6.8577 -1.4183
-7.3397 -4.2309 0.4487
-5.4872 -6.4126 -0.8617
-4.5266 -3.4189 -0.7071
-6.8585 -4.2247 -2.6621
0.0000 0.0000 0.0000

CeDyAs2 | Alexandria | PBE-GGA | optimized geometry; energy above the lowest structure with this stoichiometry = 0.000 eV/atom; crystal system = trigonal; ΔE_f = -1482.4 meV/atom; calculated total energy = -6.441 eV/atom; space-group type = No. 166
1.0
-2.7016 0.0165 3.1760
1.1514 -1.4810 3.7238
1.6337 5.7020 4.0968
As Ce Dy
2 1 1
Cartesian
0.0118 1.0330 2.7409
0.0718 3.2045 8.2556
0.0418 2.1188 5.4983
0.0000 0.0000 0.0000